Sr2Zn4AgPd3: optimized geometry, GGA-PBE.

```
data_Sr2Zn4AgPd3
_cell_length_a 4.5110
_cell_length_b 4.5110
_cell_length_c 10.2368
_cell_angle_alpha 90.00
_cell_angle_beta 90.00
_cell_angle_gamma 90.00
_symmetry_space_group_name_H-M 'P -4 m 2'
_symmetry_Int_Tables_number 115
loop_
_symmetry_equiv_pos_as_xyz
'x,y,z'
'y,-x,-z'
'-x,-y,z'
'-y,x,-z'
'-x,y,z'
'-y,-x,-z'
'x,-y,z'
'y,x,-z'
loop_
_atom_site_label
_atom_site_type_symbol
_atom_site_fract_x
_atom_site_fract_y
_atom_site_fract_z
_atom_site_occupancy
Sr1 Sr 0.0000 0.5000 0.2488 1
Zn1 Zn 0.0000 0.0000 0.0000 1
Zn2 Zn 0.0000 0.5000 0.6305 1
Zn3 Zn 0.5000 0.5000 0.0000 1
Ag1 Ag 0.0000 0.0000 0.5000 1
Pd1 Pd 0.0000 0.5000 0.8785 1
Pd2 Pd 0.5000 0.5000 0.5000 1
```

Computed properties:
Spin magnetization, Bohr magnetons per cell: 0.00
Theoretical density, g/cm³: 6.89
DFT total energy, eV/atom: -3.162

***

LaRh3: optimized geometry, GGA-PBE.

```
data_LaRh3
_cell_length_a 3.0278
_cell_length_b 4.6852
_cell_length_c 5.2480
_cell_angle_alpha 90.00
_cell_angle_beta 102.59
_cell_angle_gamma 90.00
_symmetry_space_group_name_H-M 'P 1 2/m 1'
_symmetry_Int_Tables_number 10
loop_
_symmetry_equiv_pos_as_xyz
'x,y,z'
'-x,-y,-z'
'-x,y,-z'
'x,-y,z'
loop_
_atom_site_label
_atom_site_type_symbol
_atom_site_fract_x
_atom_site_fract_y
_atom_site_fract_z
_atom_site_occupancy
La1 La 0.0000 0.0000 0.0000 1
Rh1 Rh 0.3367 0.5000 0.7147 1
Rh2 Rh 0.5000 0.0000 0.5000 1
```

Computed properties:
Spin magnetization, Bohr magnetons per cell: 0.00
Theoretical density, g/cm³: 10.23
DFT total energy, eV/atom: -6.889

***

Li2HfSn4: optimized geometry, GGA-PBE.

```
data_Li2HfSn4
_cell_length_a 6.7786
_cell_length_b 6.7786
_cell_length_c 7.1079
_cell_angle_alpha 90.00
_cell_angle_beta 90.00
_cell_angle_gamma 90.00
_symmetry_space_group_name_H-M 'I 4/m m m'
_symmetry_Int_Tables_number 139
_symmetry_space_group_name_Hall '-I 4 2'
loop_
_atom_site_label
_atom_site_type_symbol
_atom_site_fract_x
_atom_site_fract_y
_atom_site_fract_z
_atom_site_occupancy
Li1 Li 0.0000 0.5000 0.0000 1
Hf1 Hf 0.0000 0.0000 0.0000 1
Sn1 Sn 0.2500 0.2500 0.2500 1
```

Computed properties:
Spin magnetization, Bohr magnetons per cell: 0.00
Theoretical density, g/cm³: 6.78
DFT total energy, eV/atom: -4.474
Relative energy among the computed polymorphs, meV per atom: 0